1.
An optimized crystal structure of Ac2Al4NiPd3, computed with PBE.

Its magnetic moment is 0.00 μB/f.u. Its calculated formation energy is -741 meV/atom. Its total energy is -5.20 eV/atom.

It has space group P-4m2 (No. 115), with a = 4.487 Å, b = 4.487 Å, c = 10.173 Å, α = 90.00°, β = 90.00° and γ = 90.00°. The asymmetric unit holds Ac at (0.000, 0.500, 0.242), Al at (0.000, 0.000, 0.500), Al at (0.000, 0.500, 0.890), Al at (0.500, 0.500, 0.500), Ni at (0.500, 0.500, 0.000), Pd at (0.000, 0.000, 0.000) and Pd at (0.000, 0.500, 0.632).

=====

2.
An optimized crystal structure of RbGa2AgIr, computed with PBE.

Its magnetic moment is 0.00 μB/f.u. Its calculated formation energy is -165 meV/atom. Its total energy is -3.91 eV/atom.

It has space group P4/mmm (No. 123), with a = 4.825 Å, b = 4.825 Å, c = 5.508 Å, α = 90.00°, β = 90.00° and γ = 90.00°. The asymmetric unit holds Rb at (0.000, 0.000, 0.000), Ga at (0.000, 0.500, 0.500), Ag at (0.500, 0.500, 0.000) and Ir at (0.500, 0.500, 0.500).

=====

3.
An optimized crystal structure of TaTcMo3, computed with PBE.

Its magnetic moment is 0.00 μB/f.u. The distance to the lowest polymorph of the same formula comes out at 0.000 eV/atom. Its calculated formation energy is 1536 meV/atom. Its total energy is -9.41 eV/atom.

It has space group Pm-3m (No. 221), with a = 4.634 Å, b = 4.634 Å, c = 4.634 Å, α = 90.00°, β = 90.00° and γ = 90.00°. The asymmetric unit holds Ta at (0.000, 0.000, 0.000), Tc at (0.500, 0.500, 0.500) and Mo at (0.000, 0.500, 0.500).

=====

4.
An optimized crystal structure of Pm3ThHg4, computed with PBE.

Its magnetic moment is 1.89 μB/f.u. Its calculated formation energy is -396 meV/atom. Its total energy is -3.26 eV/atom.

It has space group P4/mmm (No. 123), with a = 5.379 Å, b = 5.379 Å, c = 7.682 Å, α = 90.00°, β = 90.00° and γ = 90.00°. The asymmetric unit holds Pm at (0.000, 0.000, 0.000), Pm at (0.000, 0.000, 0.500), Pm at (0.500, 0.500, 0.000), Th at (0.500, 0.500, 0.500) and Hg at (0.000, 0.500, 0.248).

=====

5.
An optimized crystal structure of PaTeSe6, computed with PBE.

Its magnetic moment is 0.00 μB/f.u. Its total energy is -4.51 eV/atom. The uncorrected formation energy is -317 meV/atom.

It has space group C2/m (No. 12), with a = 6.731 Å, b = 12.156 Å, c = 6.979 Å, α = 90.00°, β = 112.57° and γ = 90.00°. The asymmetric unit holds Pa at (0.000, 0.000, 0.000), Te at (0.000, 0.500, 0.500), Se at (0.154, 0.000, 0.654) and Se at (0.207, 0.343, 0.795).

=====

6.
An optimized crystal structure of KMg2Rh, computed with PBE.

Its magnetic moment is 0.00 μB/f.u. The distance to the lowest polymorph of the same formula comes out at 0.076 eV/atom. Its calculated formation energy is -42 meV/atom. Its total energy is -2.95 eV/atom.

It has space group Imm2 (No. 44), with a = 3.169 Å, b = 4.296 Å, c = 16.185 Å, α = 90.00°, β = 90.00° and γ = 90.00°. The asymmetric unit holds K at (0.000, 0.000, 0.000), Mg at (0.000, 0.000, 0.684), Mg at (0.000, 0.500, 0.820) and Rh at (0.000, 0.500, 0.312).

=====

7.
An optimized crystal structure of Zr2SbIrSe, computed with PBE.

Its magnetic moment is 0.00 μB/f.u. The distance to the lowest polymorph of the same formula comes out at 0.000 eV/atom. Its total energy is -6.68 eV/atom. The uncorrected formation energy is 35 meV/atom.

It has space group P4/mmm (No. 123), with a = 5.009 Å, b = 5.009 Å, c = 4.593 Å, α = 90.00°, β = 90.00° and γ = 90.00°. The asymmetric unit holds Zr at (0.000, 0.500, 0.000), Sb at (0.000, 0.000, 0.500), Ir at (0.500, 0.500, 0.500) and Se at (0.500, 0.500, 0.000).

=====

8.
An optimized crystal structure of PaRhCl, computed with PBE.

Its magnetic moment is 0.73 μB/f.u. Its total energy is -7.18 eV/atom. The uncorrected formation energy is -947 meV/atom.

It has space group R-3m (No. 166, hexagonal axes), with a = 3.8006 Å, b = 3.8006 Å, c = 36.3673 Å, α = 90.00°, β = 90.00° and γ = 120.00°. The asymmetric unit holds Pa at (0.0000, 0.0000, 0.2333), Rh at (0.0000, 0.0000, 0.1426) and Cl at (0.0000, 0.0000, 0.3796).

=====

9.
An optimized crystal structure of Rb2BeMoBr6, computed with PBE.

Its magnetic moment is 4.00 μB/f.u. Its total energy is -3.50 eV/atom. The uncorrected formation energy is -851 meV/atom.

It has space group I4/mmm (No. 139), with a = 7.335 Å, b = 7.335 Å, c = 11.182 Å, α = 90.00°, β = 90.00° and γ = 90.00°. The asymmetric unit holds Rb at (0.000, 0.500, 0.250), Be at (0.000, 0.000, 0.000), Mo at (0.000, 0.000, 0.500), Br at (0.000, 0.000, 0.264) and Br at (0.231, 0.231, 0.000).

=====

10.
An optimized crystal structure of Ti2NbNi2, computed with PBE.

Its magnetic moment is 0.00 μB/f.u. The distance to the lowest polymorph of the same formula comes out at 0.000 eV/atom. Its calculated formation energy is -239 meV/atom. Its total energy is -7.72 eV/atom.

It has space group P4/mbm (No. 127), with a = 7.103 Å, b = 7.103 Å, c = 2.917 Å, α = 90.00°, β = 90.00° and γ = 90.00°. The asymmetric unit holds Ti at (0.168, 0.332, 0.000), Nb at (0.000, 0.000, 0.500) and Ni at (0.126, 0.626, 0.500).

=====

11.
An optimized crystal structure of CaLa2As, computed with PBE.

Its magnetic moment is 0.98 μB/f.u. Its calculated formation energy is -667 meV/atom. Its total energy is -4.79 eV/atom.

It has space group R3m (No. 160, hexagonal axes), with a = 4.1539 Å, b = 4.1539 Å, c = 30.6958 Å, α = 90.00°, β = 90.00° and γ = 120.00°. The asymmetric unit holds Ca at (0.0000, 0.0000, 0.0000), La at (0.0000, 0.0000, 0.5571), La at (0.0000, 0.0000, 0.7758) and As at (0.0000, 0.0000, 0.1663).

=====

12.
An optimized crystal structure of LaNiH6Pd, computed with PBE.

Its magnetic moment is 0.00 μB/f.u. Its total energy is -4.40 eV/atom.

It has space group P-6m2 (No. 187), with a = 4.6699 Å, b = 4.6699 Å, c = 4.3582 Å, α = 90.00°, β = 90.00° and γ = 120.00°. The asymmetric unit holds La at (0.0000, 0.0000, 0.0000), Ni at (0.6667, 0.3333, 0.5000), H at (0.5135, 0.0269, 0.2532) and Pd at (0.3333, 0.6667, 0.5000).

=====

13.
An optimized crystal structure of LiY2HPt, computed with PBE.

Its magnetic moment is 0.00 μB/f.u. Its total energy is -5.54 eV/atom.

It has space group P4/mmm (No. 123), with a = 4.884 Å, b = 4.884 Å, c = 3.676 Å, α = 90.00°, β = 90.00° and γ = 90.00°. The asymmetric unit holds Li at (0.000, 0.000, 0.000), Y at (0.000, 0.500, 0.500), H at (0.000, 0.000, 0.500) and Pt at (0.500, 0.500, 0.000).

=====

14.
An optimized crystal structure of PuTlH2Cl8, computed with PBE.

Its magnetic moment is 3.00 μB/f.u. Its total energy is -4.24 eV/atom.

It has space group P-1 (No. 2), with a = 7.066 Å, b = 7.501 Å, c = 7.948 Å, α = 71.80°, β = 86.93° and γ = 84.35°. The asymmetric unit holds Pu at (0.000, 0.000, 0.000), Tl at (0.000, 0.500, 0.500), H at (0.308, 0.803, 0.654), Cl at (0.172, 0.675, 0.104), Cl at (0.176, 0.071, 0.695), Cl at (0.256, 0.129, 0.118) and Cl at (0.381, 0.644, 0.633).

=====

15.
An optimized crystal structure of K2TlTe2O6, computed with PBE.

Its magnetic moment is 0.00 μB/f.u. Its total energy is -4.66 eV/atom. The uncorrected formation energy is -966 meV/atom.

It has space group C2/m (No. 12), with a = 10.437 Å, b = 6.916 Å, c = 6.521 Å, α = 90.00°, β = 112.49° and γ = 90.00°. The asymmetric unit holds K at (0.175, 0.000, 0.133), Tl at (0.000, 0.000, 0.500), Te at (0.034, 0.500, 0.283), O at (0.019, 0.216, 0.763) and O at (0.228, 0.500, 0.400).

=====

16.
An optimized crystal structure of CaLa2Mn, computed with PBE.

Its magnetic moment is 2.70 μB/f.u. The distance to the lowest polymorph of the same formula comes out at 0.191 eV/atom. Its calculated formation energy is 363 meV/atom. Its total energy is -4.89 eV/atom.

It has space group F-43m (No. 216), with a = 7.889 Å, b = 7.889 Å, c = 7.889 Å, α = 90.00°, β = 90.00° and γ = 90.00°. The asymmetric unit holds Ca at (0.000, 0.000, 0.000), La at (0.000, 0.000, 0.500), La at (0.250, 0.250, 0.750) and Mn at (0.250, 0.250, 0.250).

=====

17.
An optimized crystal structure of PrDy2Co2, computed with PBE.

Its magnetic moment is 0.00 μB/f.u. The distance to the lowest polymorph of the same formula comes out at 0.079 eV/atom. Its calculated formation energy is -40 meV/atom. Its total energy is -5.68 eV/atom.

It has space group C2/m (No. 12), with a = 11.541 Å, b = 3.776 Å, c = 5.545 Å, α = 90.00°, β = 104.22° and γ = 90.00°. The asymmetric unit holds Pr at (0.000, 0.000, 0.000), Dy at (0.150, 0.500, 0.583) and Co at (0.222, 0.500, 0.105).

=====

18.
An optimized crystal structure of Y2HoTe, computed with PBE.

Its magnetic moment is 0.05 μB/f.u. The distance to the lowest polymorph of the same formula comes out at 0.118 eV/atom. Its total energy is -5.71 eV/atom. The uncorrected formation energy is -551 meV/atom.

It has space group R3m (No. 160, hexagonal axes), with a = 3.8914 Å, b = 3.8914 Å, c = 29.1515 Å, α = 90.00°, β = 90.00° and γ = 120.00°. The asymmetric unit holds Y at (0.0000, 0.0000, 0.0000), Y at (0.0000, 0.0000, 0.1885), Ho at (0.0000, 0.0000, 0.4273) and Te at (0.0000, 0.0000, 0.5941).

=====

19.
An optimized crystal structure of AcPuAgBi, computed with PBE.

Its magnetic moment is 6.98 μB/f.u. Its calculated formation energy is -293 meV/atom. Its total energy is -6.59 eV/atom.

It has space group F-43m (No. 216), with a = 7.903 Å, b = 7.903 Å, c = 7.903 Å, α = 90.00°, β = 90.00° and γ = 90.00°. The asymmetric unit holds Ac at (0.000, 0.000, 0.000), Pu at (0.000, 0.000, 0.500), Ag at (0.250, 0.250, 0.250) and Bi at (0.250, 0.250, 0.750).

=====

20.
An optimized crystal structure of In2BiSe2, computed with PBE.

Its magnetic moment is 0.00 μB/f.u. The distance to the lowest polymorph of the same formula comes out at 0.108 eV/atom. Its total energy is -3.31 eV/atom. The uncorrected formation energy is -47 meV/atom.

It has space group P4/mbm (No. 127), with a = 8.253 Å, b = 8.253 Å, c = 3.779 Å, α = 90.00°, β = 90.00° and γ = 90.00°. The asymmetric unit holds In at (0.148, 0.352, 0.000), Bi at (0.000, 0.000, 0.000) and Se at (0.148, 0.648, 0.500).

=====

21.
An optimized crystal structure of TlTe2Ir, computed with PBE.

Its magnetic moment is 0.00 μB/f.u. The distance to the lowest polymorph of the same formula comes out at 0.432 eV/atom. Its total energy is -4.17 eV/atom. The uncorrected formation energy is 207 meV/atom.

It has space group Pmmm (No. 47), with a = 3.253 Å, b = 3.447 Å, c = 9.110 Å, α = 90.00°, β = 90.00° and γ = 90.00°. The asymmetric unit holds Tl at (0.000, 0.000, 0.000), Te at (0.500, 0.500, 0.319) and Ir at (0.000, 0.000, 0.500).

=====

22.
An optimized crystal structure of YTm2Pt2, computed with PBE.

Its magnetic moment is 0.00 μB/f.u. The distance to the lowest polymorph of the same formula comes out at 0.045 eV/atom. Its calculated formation energy is -1031 meV/atom. Its total energy is -6.53 eV/atom.

It has space group Cmcm (No. 63), with a = 3.745 Å, b = 27.237 Å, c = 4.628 Å, α = 90.00°, β = 90.00° and γ = 90.00°. The asymmetric unit holds Y at (0.000, 0.137, 0.250), Tm at (0.000, 0.232, 0.750), Tm at (0.000, 0.449, 0.250), Pt at (0.000, 0.033, 0.250) and Pt at (0.000, 0.342, 0.250).

=====

23.
An optimized crystal structure of CeV2S4, computed with PBE.

Its magnetic moment is 4.39 μB/f.u. Its total energy is -7.00 eV/atom. The uncorrected formation energy is -1184 meV/atom.

It has space group F222 (No. 22), with a = 7.899 Å, b = 11.010 Å, c = 12.260 Å, α = 90.00°, β = 90.00° and γ = 90.00°. The asymmetric unit holds Ce at (0.000, 0.000, 0.000), Ce at (0.250, 0.250, 0.250), V at (0.125, 0.126, 0.625), S at (0.079, 0.151, 0.830) and S at (0.170, 0.099, 0.420).

=====

24.
An optimized crystal structure of LiSiH5, computed with PBE.

Its magnetic moment is 0.00 μB/f.u. Its total energy is -3.46 eV/atom.

It has space group C2/c (No. 15), with a = 7.546 Å, b = 5.405 Å, c = 6.528 Å, α = 90.00°, β = 115.66° and γ = 90.00°. The asymmetric unit holds Li at (0.000, 0.017, 0.250), Si at (0.000, 0.500, 0.000), H at (0.000, 0.462, 0.250), H at (0.017, 0.209, 0.989) and H at (0.226, 0.478, 0.615).

=====

25.
An optimized crystal structure of CsBO3, computed with PBE.

Its magnetic moment is 0.00 μB/f.u. Its total energy is -5.88 eV/atom. The uncorrected formation energy is -1400 meV/atom.

It has space group C2/m (No. 12), with a = 10.605 Å, b = 5.917 Å, c = 6.714 Å, α = 90.00°, β = 92.29° and γ = 90.00°. The asymmetric unit holds Cs at (0.170, 0.000, 0.236), B at (0.000, 0.500, 0.000), B at (0.000, 0.500, 0.500), O at (0.057, 0.291, 0.578) and O at (0.116, 0.500, 0.055).